A plane-wave DFT calculation with GGA-PBE was carried out for a relaxed LiTi2I crystal.

Properties
Relative energy among the computed polymorphs = 0.000 eV per atom
Total magnetic moment = 0.00 μB/f.u.
Energy relative to the elements, uncorrected = 115 kJ/mol of formula units
Final energy = -4.52 eV/atom

a b c (Å): 3.8338 3.8338 11.1487
angles (deg): 80.10 80.10 90.00
Sites, in units of the cell vectors:
1 I 0.0000 0.0000 0.0000
2 I 0.7500 0.2500 0.5000
3 Li 0.5000 0.5000 0.0000
4 Li 0.2500 0.7500 0.5000
5 Ti 0.6326 0.1250 0.2500
6 Ti 0.1174 0.6250 0.2500
7 Ti 0.3750 0.3674 0.7500
8 Ti 0.8750 0.8826 0.7500